[1]
The following is a PBE calculation of a relaxed HfZnRh2 crystal, from Alexandria.

Unit cell a=6.835 b=6.835 c=5.641 alpha=52.72 beta=52.72 gamma=90.00
Fractional positions:
Rh1 0.875 0.866 0.750
Rh2 0.375 0.384 0.750
Rh3 0.616 0.125 0.250
Rh4 0.134 0.625 0.250
Hf1 0.750 0.250 0.500
Hf2 0.000 0.000 0.000
Zn1 0.250 0.750 0.500
Zn2 0.500 0.500 0.000

Values from the calculation:
- VASP energy (eV per atom) = -6.77
- crystal system = tetragonal
- symmetry = I-42d (122)


[2]
The following is a PBE calculation of a relaxed La2YAs2 crystal, from Alexandria.

Unit cell a=7.603 b=7.603 c=7.603 alpha=146.31 beta=146.31 gamma=48.39
Fractional positions:
La1 0.750 0.250 0.500
La2 0.250 0.750 0.500
Y1 0.000 0.000 0.000
As1 0.405 0.405 0.000
As2 0.595 0.595 0.000

Values from the calculation:
- distance to the lowest polymorph of the same formula (meV per atom) = 511
- crystal system = tetragonal
- symmetry = I4/mmm (139)


[3]
The following is a PBE calculation of a relaxed Ca2NbSiSn crystal, from Alexandria.

Unit cell a=5.867 b=5.020 c=5.867 alpha=90.00 beta=90.00 gamma=90.00
Fractional positions:
Si1 0.000 0.500 0.000
Sn1 0.000 0.000 0.000
Ca1 0.000 0.000 0.500
Ca2 0.500 0.000 0.000
Nb1 0.500 0.500 0.500

Values from the calculation:
- crystal system = tetragonal
- E_form (uncorrected) (eV/atom) = 1.0107
- symmetry = P4/mmm (123)


[4]
The following is a PBE calculation of a relaxed Ta2CdAs crystal, from Alexandria.

Unit cell a=5.097 b=5.097 c=2.971 alpha=90.00 beta=90.00 gamma=109.63
Fractional positions:
Ta1 0.500 0.500 0.000
Ta2 0.000 0.000 0.000
Cd1 0.000 0.500 0.500
As1 0.500 0.000 0.500

Values from the calculation:
- distance to the lowest polymorph of the same formula (meV per atom) = 316
- crystal system = orthorhombic
- symmetry = Cmmm (65)


[5]
The following is a PBE calculation of a relaxed Mg2CuW crystal, from Alexandria.

Unit cell a=2.763 b=2.763 c=8.601 alpha=90.00 beta=90.00 gamma=96.07
Fractional positions:
Cu1 0.500 0.500 0.750
Mg1 0.000 0.000 0.513
Mg2 0.000 0.000 0.987
W1 0.500 0.500 0.250

Values from the calculation:
- distance to the lowest polymorph of the same formula (meV per atom) = 3
- crystal system = orthorhombic
- symmetry = Cmmm (65)


[6]
The following is a PBE calculation of a relaxed ErPaRh2 crystal, from Alexandria.

Unit cell a=3.448 b=3.448 c=6.905 alpha=90.00 beta=90.00 gamma=90.00
Fractional positions:
Pa1 0.500 0.500 0.500
Rh1 0.000 0.000 0.727
Rh2 0.000 0.000 0.273
Er1 0.500 0.500 0.000

Values from the calculation:
- distance to the lowest polymorph of the same formula (meV per atom) = 114
- crystal system = tetragonal
- symmetry = P4/mmm (123)


[7]
The following is a PBE calculation of a relaxed Ce3ErBi4 crystal, from Alexandria.

Unit cell a=6.459 b=6.459 c=6.459 alpha=90.00 beta=90.00 gamma=90.00
Fractional positions:
Bi1 0.500 0.000 0.000
Bi2 0.000 0.000 0.500
Bi3 0.000 0.500 0.000
Bi4 0.500 0.500 0.500
Er1 0.000 0.000 0.000
Ce1 0.500 0.000 0.500
Ce2 0.000 0.500 0.500
Ce3 0.500 0.500 0.000

Values from the calculation:
- distance to the lowest polymorph of the same formula (meV per atom) = 5
- crystal system = cubic
- symmetry = Pm-3m (221)


[8]
The following is a PBE calculation of a relaxed Cs2PI6O crystal, from Alexandria.

Unit cell a=7.501 b=7.501 c=8.515 alpha=63.87 beta=63.87 gamma=90.00
Fractional positions:
I1 0.210 0.210 0.579
I2 0.264 0.736 0.000
I3 0.736 0.264 0.000
I4 0.264 0.264 0.000
I5 0.790 0.790 0.421
I6 0.736 0.736 0.000
Cs1 0.750 0.250 0.500
Cs2 0.250 0.750 0.500
O1 0.500 0.500 0.000
P1 0.000 0.000 0.000

Values from the calculation:
- crystal system = tetragonal
- E_form (uncorrected) (eV/atom) = -0.4852
- symmetry = I4/mmm (139)


Spin magnetization, record by record: 0.00, 0.00, 4.28, 0.00, 0.00, 0.00, 2.76, 0.00 μB/f.u.